Record 1
Material: Li2La2CeSb2
Method: DFT, PBE-GGA
State: optimized geometry

Properties
The formation energy (no corrections) is -0.60 eV per atom.

Cell: 9.8080 9.8080 9.8080 Å, 28.41 28.41 28.41°
With the nearest neighbours (Å) after each atom.
Fractional coordinates of all 7 atoms:
1 Li 0.0982 0.0982 0.0982  3 Sb 2.78
2 Li 0.9018 0.9018 0.9018  3 Sb 2.78
3 La 0.3705 0.3705 0.3705  3 Li 3.27, 3 Sb 3.31, 3 La 3.48, 1 Ce 3.66
4 La 0.6295 0.6295 0.6295  3 Li 3.27, 3 Sb 3.31, 3 La 3.48, 1 Ce 3.66
5 Ce 0.5000 0.5000 0.5000  6 Sb 3.34, 6 Li 3.39, 2 La 3.66
6 Sb 0.2327 0.2327 0.2327  3 Li 2.78
7 Sb 0.7673 0.7673 0.7673  3 Li 2.78


Record 2
Material: SmZnF
Method: DFT, PBE-GGA
State: optimized geometry

Properties
The formation energy (no corrections) is -1.69 eV per atom.

Cell: 3.3715 3.3715 9.1529 Å, 90.00 90.00 90.00°
With the nearest neighbours (Å) after each atom.
Fractional coordinates of all 6 atoms:
1 Sm 0.2500 0.2500 0.1995  5 F 2.46-2.67
2 Sm 0.7500 0.7500 0.8005  5 F 2.46-2.67
3 Zn 0.2500 0.2500 0.5742  4 Zn 2.74
4 Zn 0.7500 0.7500 0.4258  4 Zn 2.74
5 F 0.2500 0.2500 0.9312  5 Sm 2.46-2.67, 4 F 2.70
6 F 0.7500 0.7500 0.0688  5 Sm 2.46-2.67, 4 F 2.70


Record 3
Material: MnCu2Ir
Method: DFT, PBE-GGA
State: optimized geometry

Properties
The energy of formation is 0.015 eV per atom.

Cell: 2.7705 3.5424 5.3377 Å, 90.00 90.14 90.00°
With the nearest neighbours (Å) after each atom.
Fractional coordinates of all 4 atoms:
1 Mn 0.0000 0.0000 0.0000  4 Ir 2.58, 6 Cu 2.63-2.71, 2 Mn 2.77
2 Cu 0.9996 0.0000 0.4932  6 Cu 2.55-2.77, 2 Mn 2.63-2.71, 4 Ir 2.67
3 Cu 0.4996 0.5000 0.2674  6 Cu 2.55-2.77, 2 Ir 2.65-2.69, 4 Mn 2.66-2.67
4 Ir 0.5003 0.5000 0.7639  4 Mn 2.58, 6 Cu 2.65-2.69, 2 Ir 2.77


Record 4
Material: BeC5
Method: DFT, PBE-GGA
State: optimized geometry

Properties
The energy of formation is 0.641 eV per atom.

Cell: 2.4368 2.5148 12.7694 Å, 90.00 90.00 90.00°
With the nearest neighbours (Å) after each atom.
Fractional coordinates of all 12 atoms:
1 Be 0.0000 0.0000 0.0000  2 C 1.89
2 Be 0.0000 0.5000 0.5000  2 C 1.89
3 C 0.0000 0.0000 0.2480  4 C 1.53-1.56
4 C 0.0000 0.0000 0.6756  4 C 1.50-1.56
5 C 0.0000 0.5000 0.1756  4 C 1.50-1.56
6 C 0.0000 0.5000 0.7480  4 C 1.53-1.56
7 C 0.5000 0.0000 0.3201  4 C 1.52-1.53
8 C 0.5000 0.0000 0.6070  2 C 1.50
9 C 0.5000 0.0000 0.8868  2 C 1.52
10 C 0.5000 0.5000 0.1070  2 C 1.50
11 C 0.5000 0.5000 0.3868  2 C 1.52
12 C 0.5000 0.5000 0.8201  4 C 1.52-1.53


Record 5
Material: Tm5Ru2Pb2
Method: DFT, PBE-GGA
State: optimized geometry

Properties
The energy of formation is -0.428 eV per atom.

Cell: 9.0291 9.0291 7.3951 Å, 90.00 90.00 49.53°
With the nearest neighbours (Å) after each atom.
Fractional coordinates of all 18 atoms:
1 Tm 0.0000 0.0000 0.0000  4 Ru 2.91-2.94
2 Tm 0.0555 0.7168 0.6654  3 Ru 2.83-2.96
3 Tm 0.2168 0.5555 0.1654  3 Ru 2.83-2.96
4 Tm 0.2832 0.9445 0.6654  3 Ru 2.83-2.96
5 Tm 0.4445 0.7832 0.1654  3 Ru 2.83-2.96
6 Tm 0.5000 0.5000 0.5000  4 Ru 2.91-2.94
7 Tm 0.5555 0.2168 0.8346  3 Ru 2.83-2.96
8 Tm 0.7168 0.0555 0.3346  3 Ru 2.83-2.96
9 Tm 0.7832 0.4445 0.8346  3 Ru 2.83-2.96
10 Tm 0.9445 0.2832 0.3346  3 Ru 2.83-2.96
11 Ru 0.1329 0.8671 0.3689  1 Ru 2.79, 8 Tm 2.83-2.96
12 Ru 0.3671 0.6329 0.8689  1 Ru 2.79, 8 Tm 2.83-2.96
13 Ru 0.6329 0.3671 0.1311  1 Ru 2.79, 8 Tm 2.83-2.96
14 Ru 0.8671 0.1329 0.6311  1 Ru 2.79, 8 Tm 2.83-2.96
15 Pb 0.2243 0.2243 0.0000  6 Tm 3.19-3.32
16 Pb 0.2757 0.2757 0.5000  6 Tm 3.19-3.32
17 Pb 0.7243 0.7243 0.5000  6 Tm 3.19-3.32
18 Pb 0.7757 0.7757 0.0000  6 Tm 3.19-3.32


no.,uncorrected energy (eV for the cell shown)
1,-32.0
2,-25.9
3,-26.2
4,-92.0
5,-104.4